(1)
VASP calculation (PBE-GGA) on a geometry-optimized Pu2TlSi structure.

abc: 3.269 3.269 8.807
angles: 90.00 90.00 90.00
Last column: magnetic moment on the atom in μB.
Fractional coordinates of all 4 atoms:
Tl (0.500, 0.500, 0.500)  -0.03
Si (0.500, 0.500, 0.000)  -0.07
Pu (0.000, 0.000, 0.785)  5.39
Pu (0.000, 0.000, 0.215)  5.39

Values from the calculation:
* E_form (uncorrected): -202.7 meV per atom

(2)
VASP calculation (PBE-GGA) on a geometry-optimized Pu6TlSi structure.

abc: 4.446 4.446 9.220
angles: 90.00 90.00 90.00
Last column: magnetic moment on the atom in μB.
Fractional coordinates of all 8 atoms:
Pu (0.500, 0.500, 0.000)  -5.12
Pu (0.500, 0.500, 0.500)  -4.62
Pu (0.500, 0.000, 0.271)  5.04
Pu (0.500, 0.000, 0.729)  5.04
Pu (0.000, 0.500, 0.271)  5.04
Pu (0.000, 0.500, 0.729)  5.04
Tl (0.000, 0.000, 0.000)  -0.04
Si (0.000, 0.000, 0.500)  -0.04

Values from the calculation:
* E_form (uncorrected): -44.8 meV per atom

(3)
VASP calculation (PBE-GGA) on a geometry-optimized TmPuSi4 structure.

abc: 4.001 8.232 14.405
angles: 90.00 90.00 90.00
Last column: magnetic moment on the atom in μB.
Fractional coordinates of all 24 atoms:
Tm (0.000, 0.639, 0.085)  -0.07
Tm (0.000, 0.361, 0.915)  -0.07
Tm (0.000, 0.139, 0.415)  -0.07
Tm (0.000, 0.861, 0.585)  -0.07
Pu (0.000, 0.609, 0.362)  5.21
Pu (0.000, 0.391, 0.638)  5.21
Pu (0.000, 0.109, 0.138)  5.21
Pu (0.000, 0.891, 0.862)  5.21
Si (0.500, 0.820, 0.191)  -0.02
Si (0.500, 0.180, 0.809)  -0.02
Si (0.500, 0.320, 0.309)  -0.02
Si (0.500, 0.680, 0.691)  -0.02
Si (0.500, 0.871, 0.030)  -0.02
Si (0.500, 0.129, 0.970)  -0.02
Si (0.500, 0.371, 0.470)  -0.02
Si (0.500, 0.629, 0.530)  -0.02
Si (0.500, 0.872, 0.432)  -0.01
Si (0.500, 0.128, 0.568)  -0.01
Si (0.500, 0.372, 0.068)  -0.01
Si (0.500, 0.628, 0.932)  -0.01
Si (0.500, 0.038, 0.290)  -0.02
Si (0.500, 0.962, 0.710)  -0.02
Si (0.500, 0.538, 0.210)  -0.02
Si (0.500, 0.462, 0.790)  -0.02

Values from the calculation:
* ΔE to the lowest computed polymorph: 23.2 meV per atom
* E_form (uncorrected): -333.0 meV per atom

(4)
VASP calculation (PBE-GGA) on a geometry-optimized Tm2PuSi structure.

abc: 4.413 4.609 4.609
angles: 90.00 90.00 90.00
Last column: magnetic moment on the atom in μB.
Fractional coordinates of all 4 atoms:
Si (0.500, 0.000, 0.000)  -0.05
Tm (0.000, 0.000, 0.500)  0.33
Tm (0.000, 0.500, 0.000)  0.33
Pu (0.500, 0.500, 0.500)  5.46

Values from the calculation:
* ΔE to the lowest computed polymorph: 0.0 meV per atom
* E_form (uncorrected): -186.3 meV per atom

(5)
VASP calculation (PBE-GGA) on a geometry-optimized TmPu2Si6 structure.

abc: 3.857 7.025 7.025
angles: 120.00 90.00 90.00
Last column: magnetic moment on the atom in μB.
Fractional coordinates of all 9 atoms:
Tm (0.000, 0.000, 0.000)  -0.05
Pu (0.000, 0.333, 0.667)  5.06
Pu (0.000, 0.667, 0.333)  5.06
Si (0.500, 0.332, 0.332)  -0.02
Si (0.500, 0.668, 0.668)  -0.02
Si (0.500, 0.000, 0.668)  -0.02
Si (0.500, 0.668, 0.000)  -0.02
Si (0.500, 0.332, 0.000)  -0.02
Si (0.500, 0.000, 0.332)  -0.02

Values from the calculation:
* E_form (uncorrected): -489.8 meV per atom

(6)
VASP calculation (PBE-GGA) on a geometry-optimized TmPuSi4 structure.

abc: 5.263 5.263 5.263
angles: 60.00 60.00 60.00
Last column: magnetic moment on the atom in μB.
Fractional coordinates of all 6 atoms:
Si (0.625, 0.625, 0.126)  0.00
Si (0.625, 0.126, 0.625)  0.00
Si (0.625, 0.625, 0.625)  0.00
Si (0.126, 0.625, 0.625)  0.00
Tm (0.250, 0.250, 0.250)  0.46
Pu (0.000, 0.000, 0.000)  5.50

Values from the calculation:
* ΔE to the lowest computed polymorph: 0.0 meV per atom
* E_form (uncorrected): -356.2 meV per atom

(7)
VASP calculation (PBE-GGA) on a geometry-optimized Tm4PuSi4 structure.

abc: 5.655 8.936 8.936
angles: 90.00 90.00 90.00
Last column: magnetic moment on the atom in μB.
Fractional coordinates of all 18 atoms:
Tm (0.376, 0.332, 0.904)  0.09
Tm (0.876, 0.596, 0.832)  0.09
Tm (0.376, 0.668, 0.096)  0.09
Tm (0.124, 0.168, 0.596)  0.09
Tm (0.624, 0.904, 0.668)  0.09
Tm (0.124, 0.832, 0.404)  0.09
Tm (0.876, 0.404, 0.168)  0.09
Tm (0.624, 0.096, 0.332)  0.09
Pu (0.000, 0.000, 0.000)  5.44
Pu (0.500, 0.500, 0.500)  5.44
Si (0.625, 0.778, 0.361)  -0.01
Si (0.625, 0.222, 0.639)  -0.01
Si (0.125, 0.861, 0.722)  -0.01
Si (0.875, 0.278, 0.861)  -0.01
Si (0.875, 0.722, 0.139)  -0.01
Si (0.375, 0.361, 0.222)  -0.01
Si (0.375, 0.639, 0.778)  -0.01
Si (0.125, 0.139, 0.278)  -0.01

Values from the calculation:
* E_form (uncorrected): -379.7 meV per atom

(8)
VASP calculation (PBE-GGA) on a geometry-optimized TmPuSi structure.

abc: 4.638 3.245 9.353
angles: 90.00 90.00 90.00
Last column: magnetic moment on the atom in μB.
Fractional coordinates of all 6 atoms:
Tm (0.000, 0.000, 0.000)  0.54
Tm (0.500, 0.000, 0.500)  0.16
Si (0.000, 0.500, 0.362)  -0.01
Si (0.000, 0.500, 0.638)  -0.01
Pu (0.500, 0.500, 0.175)  5.57
Pu (0.500, 0.500, 0.825)  5.57

Values from the calculation:
* ΔE to the lowest computed polymorph: 194.2 meV per atom
* E_form (uncorrected): -22.0 meV per atom

(9)
VASP calculation (PBE-GGA) on a geometry-optimized TmPuSi structure.

abc: 3.571 4.756 4.756
angles: 120.00 90.00 90.00
Last column: magnetic moment on the atom in μB.
Fractional coordinates of all 3 atoms:
Si (0.028, 0.000, 0.000)  -0.06
Tm (0.264, 0.333, 0.667)  0.32
Pu (0.708, 0.667, 0.333)  5.40

Values from the calculation:
* ΔE to the lowest computed polymorph: 63.3 meV per atom
* E_form (uncorrected): -152.8 meV per atom

(10)
VASP calculation (PBE-GGA) on a geometry-optimized Tm2PuSi4 structure.

abc: 3.852 4.171 9.143
angles: 103.19 102.16 90.00
Last column: magnetic moment on the atom in μB.
Fractional coordinates of all 7 atoms:
Tm (0.816, 0.816, 0.632)  -0.04
Tm (0.184, 0.184, 0.368)  -0.04
Pu (0.500, 0.000, 0.000)  5.11
Si (0.649, 0.649, 0.298)  0.00
Si (0.351, 0.351, 0.702)  0.00
Si (0.066, 0.566, 0.133)  -0.03
Si (0.934, 0.434, 0.867)  -0.03

Values from the calculation:
* E_form (uncorrected): -664.2 meV per atom

(11)
VASP calculation (PBE-GGA) on a geometry-optimized TmPuSi structure.

abc: 4.809 4.809 4.809
angles: 60.00 60.00 60.00
Last column: magnetic moment on the atom in μB.
Fractional coordinates of all 3 atoms:
Si (0.250, 0.250, 0.250)  -0.09
Tm (0.000, 0.000, 0.000)  0.40
Pu (0.500, 0.500, 0.500)  5.45

Values from the calculation:
* ΔE to the lowest computed polymorph: 0.0 meV per atom
* E_form (uncorrected): -216.2 meV per atom

(12)
VASP calculation (PBE-GGA) on a geometry-optimized Tm2PuSi structure.

abc: 3.498 3.498 10.064
angles: 79.99 79.99 60.00
Last column: magnetic moment on the atom in μB.
Fractional coordinates of all 4 atoms:
Si (0.000, 0.000, 0.000)  0.03
Tm (0.265, 0.265, 0.205)  0.19
Tm (0.735, 0.735, 0.795)  0.19
Pu (0.500, 0.500, 0.500)  5.66

Values from the calculation:
* ΔE to the lowest computed polymorph: 111.7 meV per atom
* E_form (uncorrected): -74.6 meV per atom

(13)
VASP calculation (PBE-GGA) on a geometry-optimized Tm2PuSi6 structure.

abc: 3.856 7.019 7.019
angles: 120.00 90.00 90.00
Last column: magnetic moment on the atom in μB.
Fractional coordinates of all 9 atoms:
Tm (0.000, 0.333, 0.667)  -0.05
Tm (0.000, 0.667, 0.333)  -0.05
Pu (0.000, 0.000, 0.000)  5.02
Si (0.500, 0.334, 0.334)  -0.02
Si (0.500, 0.666, 0.666)  -0.02
Si (0.500, 0.000, 0.666)  -0.02
Si (0.500, 0.666, 0.000)  -0.02
Si (0.500, 0.334, 0.000)  -0.02
Si (0.500, 0.000, 0.334)  -0.02

Values from the calculation:
* E_form (uncorrected): -507.2 meV per atom

(14)
VASP calculation (PBE-GGA) on a geometry-optimized TmPuZnSi structure.

abc: 4.946 4.946 4.946
angles: 60.00 60.00 60.00
Last column: magnetic moment on the atom in μB.
Fractional coordinates of all 4 atoms:
Zn (0.250, 0.250, 0.250)  -0.04
Tm (0.500, 0.500, 0.500)  -0.23
Si (0.750, 0.750, 0.750)  0.04
Pu (0.000, 0.000, 0.000)  -5.32

Values from the calculation:
* E_form (uncorrected): -324.4 meV per atom

(15)
VASP calculation (PBE-GGA) on a geometry-optimized PuU4Si structure.

abc: 5.452 7.312 6.949
angles: 106.82 90.00 111.89
Fractional coordinates of all 12 atoms:
Pu (0.500, 0.500, 0.500)
Pu (0.000, 0.500, 0.000)
U (0.451, 0.133, 0.431)
U (0.923, 0.624, 0.353)
U (0.318, 0.867, 0.069)
U (0.549, 0.867, 0.569)
U (0.077, 0.376, 0.647)
U (0.299, 0.376, 0.147)
U (0.701, 0.624, 0.853)
U (0.682, 0.133, 0.931)
Si (0.120, 0.000, 0.750)
Si (0.880, 0.000, 0.250)

Values from the calculation:
* E_form (uncorrected): -151.8 meV per atom

(16)
VASP calculation (PBE-GGA) on a geometry-optimized Pu2USi structure.

abc: 3.653 6.720 6.910
angles: 90.00 90.00 90.00
Last column: magnetic moment on the atom in μB.
Fractional coordinates of all 8 atoms:
Pu (0.299, 0.664, 0.787)  2.59
Pu (0.299, 0.624, 0.421)  -4.83
Pu (0.799, 0.124, 0.363)  -4.83
Pu (0.799, 0.164, 0.997)  2.59
U (0.799, 0.898, 0.707)  -0.05
U (0.299, 0.398, 0.077)  -0.05
Si (0.799, 0.747, 0.106)  0.01
Si (0.299, 0.247, 0.678)  0.01

Values from the calculation:
* ΔE to the lowest computed polymorph: 174.1 meV per atom
* E_form (uncorrected): 28.4 meV per atom

(17)
VASP calculation (PBE-GGA) on a geometry-optimized PuUSi structure.

abc: 4.398 5.178 5.857
angles: 80.06 67.95 64.87
Last column: magnetic moment on the atom in μB.
Fractional coordinates of all 6 atoms:
U (0.756, 0.205, 0.283)  0.02
U (0.244, 0.795, 0.717)  0.02
Si (0.507, 0.819, 0.167)  0.00
Si (0.493, 0.181, 0.833)  0.00
Pu (0.117, 0.474, 0.291)  0.06
Pu (0.883, 0.526, 0.709)  0.06

Values from the calculation:
* ΔE to the lowest computed polymorph: 0.0 meV per atom
* E_form (uncorrected): -299.7 meV per atom

(18)
VASP calculation (PBE-GGA) on a geometry-optimized PuU3Si2 structure.

abc: 5.112 5.112 9.814
angles: 109.68 109.92 72.51
Last column: magnetic moment on the atom in μB.
Fractional coordinates of all 12 atoms:
Pu (0.854, 0.604, 0.250)  4.22
Pu (0.146, 0.396, 0.750)  4.22
U (0.470, 0.703, 0.402)  -0.51
U (0.530, 0.297, 0.598)  -0.51
U (0.800, 0.068, 0.098)  -0.51
U (0.644, 0.894, 0.750)  -0.63
U (0.200, 0.932, 0.902)  -0.51
U (0.356, 0.106, 0.250)  -0.63
Si (0.946, 0.187, 0.423)  0.00
Si (0.054, 0.813, 0.577)  0.00
Si (0.737, 0.477, 0.923)  0.00
Si (0.263, 0.523, 0.077)  0.00

Values from the calculation:
* E_form (uncorrected): -257.1 meV per atom

(19)
VASP calculation (PBE-GGA) on a geometry-optimized Pu2U4Si3 structure.

abc: 5.061 5.391 7.336
angles: 85.13 89.05 57.35
Last column: magnetic moment on the atom in μB.
Fractional coordinates of all 9 atoms:
Pu (0.705, 0.435, 0.691)  2.77
Pu (0.295, 0.565, 0.309)  2.77
U (0.297, 0.341, 0.023)  -0.31
U (0.873, 0.262, 0.361)  -0.13
U (0.127, 0.738, 0.639)  -0.13
U (0.703, 0.659, 0.977)  -0.31
Si (0.597, 0.894, 0.352)  -0.02
Si (0.000, 0.000, 0.000)  -0.01
Si (0.403, 0.106, 0.648)  -0.02

Values from the calculation:
* E_form (uncorrected): -250.9 meV per atom

(20)
VASP calculation (PBE-GGA) on a geometry-optimized Pu2U3Si2 structure.

abc: 4.418 5.162 6.472
angles: 97.01 90.00 115.33
Last column: magnetic moment on the atom in μB.
Fractional coordinates of all 7 atoms:
Pu (0.762, 0.524, 0.837)  -4.31
Pu (0.238, 0.476, 0.163)  -4.31
U (0.500, 0.000, 0.000)  0.64
U (0.635, 0.269, 0.443)  0.89
U (0.365, 0.731, 0.557)  0.89
Si (0.935, 0.870, 0.278)  0.02
Si (0.065, 0.130, 0.722)  0.02

Values from the calculation:
* E_form (uncorrected): -232.9 meV per atom

no.,volume (Å³/cell)
1,94
2,182
3,474
4,94
5,165
6,103
7,452
8,141
9,70
10,140
11,79
12,104
13,165
14,86
15,244
16,170
17,112
18,222
19,168
20,132